# HgAs2 | Alexandria | SCAN | PBEsol geometry
# * energy of formation from the pure elements: 0.088 eV per atom
data_HgAs2
_chemical_formula_sum 'Hg4 As8'
_cell_length_a 3.635
_cell_length_b 13.208
_cell_length_c 5.497
_cell_angle_alpha 90.00
_cell_angle_beta 90.00
_cell_angle_gamma 90.00
_space_group_name_H-M_alt 'C m c m'
_space_group_IT_number 63
_space_group_name_Hall '-C 2c 2'
loop_
_atom_site_label
_atom_site_type_symbol
_atom_site_fract_x
_atom_site_fract_y
_atom_site_fract_z
Hg1 Hg 0.000 0.168 0.250
As1 As 0.000 0.146 0.750
As2 As 0.000 0.486 0.250

---

# Fe2CoIr | Alexandria | SCAN | PBEsol geometry
# * energy of formation from the pure elements: 0.004 eV per atom
data_Fe2CoIr
_chemical_formula_sum 'Fe4 Co2 Ir2'
_cell_length_a 3.544
_cell_length_b 3.544
_cell_length_c 7.141
_cell_angle_alpha 90.00
_cell_angle_beta 90.00
_cell_angle_gamma 90.00
_space_group_name_H-M_alt 'I 4/m m m'
_space_group_IT_number 139
_space_group_name_Hall '-I 4 2'
loop_
_atom_site_label
_atom_site_type_symbol
_atom_site_fract_x
_atom_site_fract_y
_atom_site_fract_z
Fe1 Fe 0.000 0.500 0.250
Co1 Co 0.000 0.000 0.000
Ir1 Ir 0.000 0.000 0.500

---

# LiHgMo2 | Alexandria | SCAN | PBEsol geometry
# * energy of formation from the pure elements: 0.431 eV per atom
data_LiHgMo2
_chemical_formula_sum 'Li2 Hg2 Mo4'
_cell_length_a 4.082
_cell_length_b 4.082
_cell_length_c 7.500
_cell_angle_alpha 90.00
_cell_angle_beta 90.00
_cell_angle_gamma 90.00
_space_group_name_H-M_alt 'I -4 m 2'
_space_group_IT_number 119
_space_group_name_Hall 'I -4 -2'
loop_
_atom_site_label
_atom_site_type_symbol
_atom_site_fract_x
_atom_site_fract_y
_atom_site_fract_z
Li1 Li 0.000 0.000 0.000
Hg1 Hg 0.000 0.500 0.750
Mo1 Mo 0.000 0.000 0.500
Mo2 Mo 0.000 0.500 0.250

---

# K2UTe3 | Alexandria | SCAN | PBEsol geometry
# * ΔE_f (raw): -1.039 eV per atom
data_K2UTe3
_chemical_formula_sum 'K8 U4 Te12'
_cell_length_a 7.917
_cell_length_b 13.715
_cell_length_c 8.463
_cell_angle_alpha 90.00
_cell_angle_beta 108.38
_cell_angle_gamma 90.00
_space_group_name_H-M_alt 'C 1 2/m 1'
_space_group_IT_number 12
loop_
_space_group_symop_operation_xyz
'x,y,z'
'-x,-y,-z'
'-x,y,-z'
'x,-y,z'
'x+1/2,y+1/2,z'
'-x+1/2,-y+1/2,-z'
'-x+1/2,y+1/2,-z'
'x+1/2,-y+1/2,z'
loop_
_atom_site_label
_atom_site_type_symbol
_atom_site_fract_x
_atom_site_fract_y
_atom_site_fract_z
K1 K 0.000 0.000 0.000
K2 K 0.000 0.155 0.500
K3 K 0.000 0.500 0.500
U1 U 0.000 0.332 0.000
Te1 Te 0.204 0.500 0.210
Te2 Te 0.243 0.316 0.786